# 1
A geometry-optimized Li2Os structure, computed with GGA-PBE.

Unit cell a=10.4574 b=2.4560 c=6.7851 alpha=90.00 beta=102.02 gamma=90.00
Last column: nearest neighbours and their distance in Å.
Fractional coordinates of all 12 atoms:
Li 0.1159 0.0000 0.0023  3 Li 2.42-2.46
Li 0.2030 0.0000 0.6503  5 Li 2.46-2.73, 1 Os 2.73
Li 0.2970 0.5000 0.3497  5 Li 2.46-2.73, 1 Os 2.73
Li 0.3841 0.5000 0.9977  3 Li 2.42-2.46
Li 0.6159 0.5000 0.0023  3 Li 2.42-2.46
Li 0.7030 0.5000 0.6503  5 Li 2.46-2.73, 1 Os 2.73
Li 0.7970 0.0000 0.3497  5 Li 2.46-2.73, 1 Os 2.73
Li 0.8841 0.0000 0.9977  3 Li 2.42-2.46
Os 0.0332 0.5000 0.3280  3 Os 2.46-2.57, 3 Li 2.73-2.74
Os 0.4668 0.0000 0.6720  3 Os 2.46-2.57, 3 Li 2.73-2.74
Os 0.5332 0.0000 0.3280  3 Os 2.46-2.57, 3 Li 2.73-2.74
Os 0.9668 0.5000 0.6720  3 Os 2.46-2.57, 3 Li 2.73-2.74

Output
* energy of formation from the pure elements: 0.22 eV per atom



# 2
A geometry-optimized Al3Ag2Au5 structure, computed with GGA-PBE.

Unit cell a=8.0369 b=8.0369 c=5.5666 alpha=93.13 beta=93.13 gamma=104.87
Last column: nearest neighbours and their distance in Å.
Fractional coordinates of all 20 atoms:
Al 0.0415 0.9585 0.7500  6 Au 2.65-2.84
Al 0.2170 0.4943 0.4067  6 Au 2.56-2.81
Al 0.4943 0.2170 0.9067  6 Au 2.56-2.81
Al 0.5057 0.7830 0.0933  6 Au 2.56-2.81
Al 0.7830 0.5057 0.5933  6 Au 2.56-2.81
Al 0.9585 0.0415 0.2500  6 Au 2.65-2.84
Ag 0.1437 0.6120 0.8877  7 Au 2.87-3.12, 2 Ag 2.93-2.96, 4 Al 2.93-3.16
Ag 0.3880 0.8563 0.6123  7 Au 2.87-3.12, 2 Ag 2.93-2.96, 4 Al 2.93-3.16
Ag 0.6120 0.1437 0.3877  7 Au 2.87-3.12, 2 Ag 2.93-2.96, 4 Al 2.93-3.16
Ag 0.8563 0.3880 0.1123  7 Au 2.87-3.12, 2 Ag 2.93-2.96, 4 Al 2.93-3.16
Au 0.0436 0.7210 0.3958  3 Al 2.56-2.68
Au 0.1784 0.2766 0.0271  4 Al 2.62-2.84, 2 Au 2.88-2.93, 1 Ag 2.92
Au 0.2766 0.1784 0.5271  4 Al 2.62-2.84, 2 Au 2.88-2.93, 1 Ag 2.92
Au 0.2790 0.9564 0.1042  3 Al 2.56-2.68
Au 0.4708 0.5292 0.7500  4 Al 2.67-2.75, 2 Au 2.88
Au 0.5292 0.4708 0.2500  4 Al 2.67-2.75, 2 Au 2.88
Au 0.7210 0.0436 0.8958  3 Al 2.56-2.68
Au 0.7234 0.8216 0.4729  4 Al 2.62-2.84, 2 Au 2.88-2.93, 1 Ag 2.92
Au 0.8216 0.7234 0.9729  4 Al 2.62-2.84, 2 Au 2.88-2.93, 1 Ag 2.92
Au 0.9564 0.2790 0.6042  3 Al 2.56-2.68

Output
* energy of formation from the pure elements: -0.24 eV per atom



# 3
A geometry-optimized V12Zn3C5 structure, computed with GGA-PBE.

Unit cell a=11.1132 b=11.1132 c=11.1132 alpha=109.47 beta=109.47 gamma=109.47
Last column: nearest neighbours and their distance in Å.
Fractional coordinates of all 80 atoms:
V 0.0140 0.1967 0.0994  2 C 1.90-2.02
V 0.0140 0.3172 0.9146  2 C 1.90-2.02
V 0.0854 0.5994 0.4027  2 C 1.90-2.02
V 0.0854 0.9860 0.6828  2 C 1.90-2.02
V 0.0973 0.6967 0.6828  2 C 1.90-2.02
V 0.0973 0.9006 0.4146  2 C 1.90-2.02
V 0.0994 0.0140 0.1967  2 C 1.90-2.02
V 0.0994 0.5854 0.9027  2 C 1.90-2.02
V 0.1828 0.1967 0.5973  2 C 1.90-2.02
V 0.1828 0.4860 0.5854  2 C 1.90-2.02
V 0.1967 0.0994 0.0140  2 C 1.90-2.02
V 0.1967 0.5973 0.1828  2 C 1.90-2.02
V 0.3033 0.3172 0.9027  2 C 1.90-2.02
V 0.3033 0.4860 0.4006  2 C 1.90-2.02
V 0.3172 0.9027 0.3033  2 C 1.90-2.02
V 0.3172 0.9146 0.0140  2 C 1.90-2.02
V 0.4006 0.3033 0.4860  2 C 1.90-2.02
V 0.4006 0.5973 0.9146  2 C 1.90-2.02
V 0.4027 0.0854 0.5994  2 C 1.90-2.02
V 0.4027 0.8172 0.8033  2 C 1.90-2.02
V 0.4146 0.0973 0.9006  2 C 1.90-2.02
V 0.4146 0.8172 0.5140  2 C 1.90-2.02
V 0.4860 0.4006 0.3033  2 C 1.90-2.02
V 0.4860 0.5854 0.1828  2 C 1.90-2.02
V 0.5140 0.4146 0.8172  2 C 1.90-2.02
V 0.5140 0.5994 0.6967  2 C 1.90-2.02
V 0.5854 0.1828 0.4860  2 C 1.90-2.02
V 0.5854 0.9027 0.0994  2 C 1.90-2.02
V 0.5973 0.1828 0.1967  2 C 1.90-2.02
V 0.5973 0.9146 0.4006  2 C 1.90-2.02
V 0.5994 0.4027 0.0854  2 C 1.90-2.02
V 0.5994 0.6967 0.5140  2 C 1.90-2.02
V 0.6828 0.0854 0.9860  2 C 1.90-2.02
V 0.6828 0.0973 0.6967  2 C 1.90-2.02
V 0.6967 0.5140 0.5994  2 C 1.90-2.02
V 0.6967 0.6828 0.0973  2 C 1.90-2.02
V 0.8033 0.4027 0.8172  2 C 1.90-2.02
V 0.8033 0.9006 0.9860  2 C 1.90-2.02
V 0.8172 0.5140 0.4146  2 C 1.90-2.02
V 0.8172 0.8033 0.4027  2 C 1.90-2.02
V 0.9006 0.4146 0.0973  2 C 1.90-2.02
V 0.9006 0.9860 0.8033  2 C 1.90-2.02
V 0.9027 0.0994 0.5854  2 C 1.90-2.02
V 0.9027 0.3033 0.3172  2 C 1.90-2.02
V 0.9146 0.0140 0.3172  2 C 1.90-2.02
V 0.9146 0.4006 0.5973  2 C 1.90-2.02
V 0.9860 0.6828 0.0854  2 C 1.90-2.02
V 0.9860 0.8033 0.9006  2 C 1.90-2.02
Zn 0.1250 0.2500 0.3750  8 V 2.56-2.65
Zn 0.1250 0.3750 0.7500  8 V 2.56-2.65
Zn 0.2500 0.3750 0.1250  8 V 2.56-2.65
Zn 0.2500 0.8750 0.6250  8 V 2.56-2.65
Zn 0.3750 0.1250 0.2500  8 V 2.56-2.65
Zn 0.3750 0.7500 0.1250  8 V 2.56-2.65
Zn 0.6250 0.2500 0.8750  8 V 2.56-2.65
Zn 0.6250 0.8750 0.7500  8 V 2.56-2.65
Zn 0.7500 0.1250 0.3750  8 V 2.56-2.65
Zn 0.7500 0.6250 0.8750  8 V 2.56-2.65
Zn 0.8750 0.6250 0.2500  8 V 2.56-2.65
Zn 0.8750 0.7500 0.6250  8 V 2.56-2.65
C 0.0000 0.0000 0.0000  6 V 2.02
C 0.0000 0.0000 0.5000  6 V 2.02
C 0.0000 0.5000 0.0000  6 V 2.02
C 0.0000 0.5000 0.5000  6 V 2.02
C 0.1250 0.7500 0.8750  4 V 1.90
C 0.1250 0.8750 0.2500  4 V 1.90
C 0.2500 0.1250 0.8750  4 V 1.90
C 0.2500 0.6250 0.3750  4 V 1.90
C 0.3750 0.2500 0.6250  4 V 1.90
C 0.3750 0.6250 0.7500  4 V 1.90
C 0.5000 0.0000 0.0000  6 V 2.02
C 0.5000 0.0000 0.5000  6 V 2.02
C 0.5000 0.5000 0.0000  6 V 2.02
C 0.5000 0.5000 0.5000  6 V 2.02
C 0.6250 0.3750 0.2500  4 V 1.90
C 0.6250 0.7500 0.3750  4 V 1.90
C 0.7500 0.3750 0.6250  4 V 1.90
C 0.7500 0.8750 0.1250  4 V 1.90
C 0.8750 0.1250 0.7500  4 V 1.90
C 0.8750 0.2500 0.1250  4 V 1.90

Output
* energy of formation from the pure elements: 0.19 eV per atom



# 4
A geometry-optimized RbFeOs2 structure, computed with GGA-PBE.

Unit cell a=6.3719 b=6.3719 c=6.3719 alpha=90.00 beta=90.00 gamma=90.00
Last column: nearest neighbours and their distance in Å.
Fractional coordinates of all 16 atoms:
Rb 0.0000 0.0000 0.0000  8 Os 2.76
Rb 0.0000 0.5000 0.5000  8 Os 2.76
Rb 0.5000 0.0000 0.5000  8 Os 2.76
Rb 0.5000 0.5000 0.0000  8 Os 2.76
Fe 0.0000 0.0000 0.5000  8 Os 2.76
Fe 0.0000 0.5000 0.0000  8 Os 2.76
Fe 0.5000 0.0000 0.0000  8 Os 2.76
Fe 0.5000 0.5000 0.5000  8 Os 2.76
Os 0.2500 0.2500 0.2500  4 Fe 2.76, 4 Rb 2.76
Os 0.2500 0.2500 0.7500  4 Fe 2.76, 4 Rb 2.76
Os 0.2500 0.7500 0.2500  4 Rb 2.76, 4 Fe 2.76
Os 0.2500 0.7500 0.7500  4 Fe 2.76, 4 Rb 2.76
Os 0.7500 0.2500 0.2500  4 Rb 2.76, 4 Fe 2.76
Os 0.7500 0.2500 0.7500  4 Fe 2.76, 4 Rb 2.76
Os 0.7500 0.7500 0.2500  4 Fe 2.76, 4 Rb 2.76
Os 0.7500 0.7500 0.7500  4 Rb 2.76, 4 Fe 2.76

Output
* offset from the most stable computed form: 0.643 eV/atom
* energy of formation from the pure elements: 2.27 eV per atom